Below is a relaxed RbTl2Mo crystal, with properties calculated at the PBEsol level.

a = 5.333 Å, b = 5.333 Å, c = 5.333 Å
α = 60.00°, β = 60.00°, γ = 60.00°
Each line ends with the local moment (μB).
Atoms (fractional coordinates):
1 Rb 0.000 0.000 0.000  0.01
2 Tl 0.250 0.250 0.250  -0.01
3 Tl 0.750 0.750 0.750  -0.01
4 Mo 0.500 0.500 0.500  3.05

Results
Theoretical density ... 9.14 Mg/m³
Space group ... Fm-3m (225)
Energy of formation ... 0.98 eV per atom
V ... 107.3 Å³ per cell